[1]
A plane-wave DFT calculation with GGA-PBEsol was carried out for a relaxed LiVSiO4 crystal.

Computed properties:
SG ... R3 (146)
Volume ... 11.43 Å³/atom
Polymorph energy (0 for the lowest one) ... 8.52 kJ/mol of atoms

a = 8.3521 Å, b = 8.3521 Å, c = 8.3521 Å
α = 107.39°, β = 107.39°, γ = 107.39°
Closest atoms and distances in Å follow each position.
Sites, in units of the cell vectors:
Si (0.8015, 0.4028, 0.5637)  4 O 1.63-1.65
Si (0.5637, 0.8015, 0.4028)  4 O 1.63-1.65
Si (0.4028, 0.5637, 0.8015)  4 O 1.63-1.65
Si (0.2755, 0.1300, 0.8530)  4 O 1.61-1.67
Si (0.8530, 0.2755, 0.1300)  4 O 1.61-1.67
Si (0.1300, 0.8530, 0.2755)  4 O 1.61-1.67
O (0.3094, 0.9779, 0.9362)  1 Si 1.67
O (0.6949, 0.4006, 0.6984)  1 Si 1.63
O (0.6346, 0.2988, 0.3534)  1 Si 1.64
O (0.6828, 0.0639, 0.0385)  1 Si 1.66
O (0.6984, 0.6949, 0.4006)  1 Si 1.63
O (0.9150, 0.2759, 0.5999)  1 Si 1.65, 1 V 1.84
O (0.2759, 0.5999, 0.9150)  1 Si 1.65, 1 V 1.84
O (0.3184, 0.0168, 0.3132)  1 Si 1.61
O (0.0385, 0.6828, 0.0639)  1 Si 1.66
O (0.3534, 0.6346, 0.2988)  1 Si 1.64
O (0.9362, 0.3094, 0.9779)  1 Si 1.67
O (0.5999, 0.9150, 0.2759)  1 Si 1.65, 1 V 1.84
O (0.6129, 0.6199, 0.9469)  1 Si 1.63
O (0.3132, 0.3184, 0.0168)  1 Si 1.61
O (0.4006, 0.6984, 0.6949)  1 Si 1.63
O (0.6199, 0.9469, 0.6129)  1 Si 1.63
O (0.9779, 0.9362, 0.3094)  1 Si 1.67
O (0.4272, 0.1439, 0.7627)  1 Si 1.65
O (0.9469, 0.6129, 0.6199)  1 Si 1.63
O (0.7627, 0.4272, 0.1439)  1 Si 1.65
O (0.0639, 0.0385, 0.6828)  1 Si 1.66
O (0.0168, 0.3132, 0.3184)  1 Si 1.61
O (0.1439, 0.7627, 0.4272)  1 Si 1.65
O (0.2988, 0.3534, 0.6346)  1 Si 1.64
Li (0.8689, 0.1287, 0.7318)  4 O 1.90-2.08
Li (0.2188, 0.5691, 0.4447)  4 O 1.90-1.99
Li (0.1287, 0.7318, 0.8689)  4 O 1.90-2.08
Li (0.4447, 0.2188, 0.5691)  4 O 1.90-1.99
Li (0.5691, 0.4447, 0.2188)  4 O 1.90-1.99
Li (0.7318, 0.8689, 0.1287)  4 O 1.90-2.08
V (0.0498, 0.1897, 0.4866)  4 O 1.84-1.98
V (0.4866, 0.0498, 0.1897)  4 O 1.84-1.98
V (0.5009, 0.9553, 0.7799)  4 O 1.86-1.96
V (0.1897, 0.4866, 0.0498)  4 O 1.84-1.98
V (0.7799, 0.5009, 0.9553)  4 O 1.86-1.96
V (0.9553, 0.7799, 0.5009)  4 O 1.86-1.96

***

[2]
A plane-wave DFT calculation with GGA-PBEsol was carried out for a relaxed LiVSiO4 crystal.

Computed properties:
SG ... P6_3 (173)
Volume ... 15.43 Å³/atom
Polymorph energy (0 for the lowest one) ... 12.92 kJ/mol of atoms

a = 5.1326 Å, b = 5.1326 Å, c = 9.4688 Å
α = 90.00°, β = 90.00°, γ = 120.00°
Closest atoms and distances in Å follow each position.
Sites, in units of the cell vectors:
Li (0.0000, 0.0000, 0.7304)  3 O 1.87
Li (0.0000, 0.0000, 0.2304)  3 O 1.87
O (0.9754, 0.6285, 0.7027)  1 Si 1.64
O (0.6285, 0.6531, 0.2027)  1 Si 1.64
O (0.6531, 0.0246, 0.7027)  1 Si 1.64
O (0.3469, 0.9754, 0.2027)  1 Si 1.64
O (0.3333, 0.6667, 0.4311)  1 Si 1.62, 1 V 1.80
O (0.0246, 0.3715, 0.2027)  1 Si 1.64
O (0.3715, 0.3469, 0.7027)  1 Si 1.64
O (0.6667, 0.3333, 0.9311)  1 Si 1.62, 1 V 1.80
V (0.3333, 0.6667, 0.6217)  4 O 1.80-1.91
V (0.6667, 0.3333, 0.1217)  4 O 1.80-1.91
Si (0.6667, 0.3333, 0.7596)  4 O 1.62-1.64
Si (0.3333, 0.6667, 0.2596)  4 O 1.62-1.64

***

[3]
A plane-wave DFT calculation with GGA-PBEsol was carried out for a relaxed Li2VSi7O16 crystal.

Computed properties:
Final energy ... -204.76 eV for the cell shown
SG ... P1 (1)
Volume ... 12.46 Å³/atom

a = 7.0627 Å, b = 7.3915 Å, c = 7.7600 Å
α = 113.37°, β = 111.90°, γ = 98.30°
Closest atoms and distances in Å follow each position.
Sites, in units of the cell vectors:
O (0.4993, 0.9549, 0.2258)  2 Si 1.65
O (0.7065, 0.3073, 0.6705)  1 Si 1.60
O (0.2015, 0.9783, 0.3398)  2 Si 1.60-1.62
O (0.9494, 0.3180, 0.0375)  2 Si 1.61-1.63
O (0.1357, 0.9040, 0.6848)  2 Si 1.64-1.67
O (0.1005, 0.6983, 0.9353)  1 Si 1.59
O (0.5364, 0.1285, 0.8458)  2 Si 1.61-1.64
O (0.8751, 0.1189, 0.2952)  2 Si 1.64-1.67
O (0.7899, 0.7655, 0.3108)  2 Si 1.62-1.63
O (0.5908, 0.7382, 0.9245)  1 Si 1.60
O (0.3193, 0.2699, 0.0489)  2 Si 1.63-1.64
O (0.2189, 0.2700, 0.6789)  2 Si 1.64-1.65
O (0.2551, 0.3687, 0.3922)  2 Si 1.63-1.65
O (0.3180, 0.6496, 0.2760)  2 Si 1.62-1.64
O (0.7958, 0.5703, 0.5324)  1 Si 1.59
O (0.7712, 0.9587, 0.6772)  2 Si 1.64
Si (0.3033, 0.1470, 0.8141)  4 O 1.61-1.65
Si (0.8646, 0.7937, 0.5485)  4 O 1.59-1.67
Si (0.7400, 0.1815, 0.7995)  4 O 1.60-1.64
Si (0.2080, 0.4011, 0.1832)  4 O 1.61-1.65
Si (0.2677, 0.8113, 0.1832)  4 O 1.59-1.65
Si (0.6915, 0.8816, 0.1774)  4 O 1.60-1.67
Si (0.1401, 0.1852, 0.4248)  4 O 1.60-1.64
Li (0.2635, 0.7027, 0.7822)  3 O 1.94-2.09
Li (0.6876, 0.2785, 0.4111)  2 O 1.87-1.89
V (0.7704, 0.6181, 0.8005)  4 O 1.97-2.05

***

[4]
A plane-wave DFT calculation with GGA-PBEsol was carried out for a relaxed Li3VSi6O15 crystal.

Computed properties:
Final energy ... -776.90 eV for the cell shown
SG ... Pnma (62)
Volume ... 11.42 Å³/atom

a = 7.8709 Å, b = 9.7914 Å, c = 14.8142 Å
α = 90.00°, β = 90.00°, γ = 90.00°
Closest atoms and distances in Å follow each position.
Sites, in units of the cell vectors:
Si (0.2500, 0.0287, 0.0993)  4 O 1.59-1.65
Si (0.4396, 0.2129, 0.3964)  4 O 1.60-1.65
Si (0.0604, 0.2871, 0.8964)  4 O 1.60-1.65
Si (0.4426, 0.2974, 0.0985)  4 O 1.59-1.68
Si (0.7500, 0.5188, 0.5990)  4 O 1.58-1.65
Si (0.7500, 0.5287, 0.4007)  4 O 1.59-1.65
Si (0.5574, 0.7026, 0.9015)  4 O 1.59-1.68
Si (0.9396, 0.7871, 0.6036)  4 O 1.60-1.65
Si (0.9426, 0.7974, 0.4015)  4 O 1.59-1.68
Si (0.5604, 0.7129, 0.1036)  4 O 1.60-1.65
Si (0.2500, 0.4713, 0.5993)  4 O 1.59-1.65
Si (0.4396, 0.2871, 0.8964)  4 O 1.60-1.65
Si (0.7500, 0.9812, 0.0990)  4 O 1.58-1.65
Si (0.0574, 0.2026, 0.5985)  4 O 1.59-1.68
Si (0.0574, 0.2974, 0.0985)  4 O 1.59-1.68
Si (0.0604, 0.2129, 0.3964)  4 O 1.60-1.65
Si (0.7500, 0.9713, 0.9007)  4 O 1.59-1.65
Si (0.2500, 0.0188, 0.9010)  4 O 1.58-1.65
Si (0.5604, 0.7871, 0.6036)  4 O 1.60-1.65
Si (0.9396, 0.7129, 0.1036)  4 O 1.60-1.65
Si (0.4426, 0.2026, 0.5985)  4 O 1.59-1.68
Si (0.2500, 0.4812, 0.4010)  4 O 1.58-1.65
Si (0.9426, 0.7026, 0.9015)  4 O 1.59-1.68
Si (0.5574, 0.7974, 0.4015)  4 O 1.59-1.68
Li (0.4919, 0.0050, 0.2420)  3 O 1.96-2.20
Li (0.0081, 0.0050, 0.2420)  3 O 1.96-2.20
Li (0.0081, 0.4950, 0.7420)  3 O 1.96-2.20
Li (0.5081, 0.5050, 0.2580)  3 O 1.96-2.20
Li (0.4919, 0.4950, 0.7420)  3 O 1.96-2.20
Li (0.2500, 0.5780, 0.0943)  3 O 1.98-2.03
Li (0.9919, 0.9950, 0.7580)  3 O 1.96-2.20
Li (0.7500, 0.0780, 0.4057)  3 O 1.98-2.03
Li (0.7500, 0.4220, 0.9057)  3 O 1.98-2.03
Li (0.2500, 0.9220, 0.5943)  3 O 1.98-2.03
Li (0.9919, 0.5050, 0.2580)  3 O 1.96-2.20
Li (0.5081, 0.9950, 0.7580)  3 O 1.96-2.20
O (0.9854, 0.3317, 0.9964)  2 Si 1.65
O (0.4382, 0.8515, 0.3224)  1 Si 1.59
O (0.7500, 0.4139, 0.6802)  1 Si 1.58
O (0.4854, 0.8317, 0.5036)  2 Si 1.65
O (0.5752, 0.1568, 0.3247)  1 Si 1.60
O (0.9162, 0.8790, 0.1095)  2 Si 1.64-1.65
O (0.5752, 0.3432, 0.8247)  1 Si 1.60
O (0.5618, 0.1485, 0.6776)  1 Si 1.59
O (0.9162, 0.6210, 0.6095)  2 Si 1.64-1.65
O (0.4248, 0.6568, 0.1753)  1 Si 1.60
O (0.5857, 0.8677, 0.8939)  2 Si 1.64-1.65
O (0.7500, 0.4328, 0.3144)  1 Si 1.59
O (0.0838, 0.1210, 0.8905)  2 Si 1.64-1.65
O (0.2500, 0.1459, 0.3831)  2 Si 1.64
O (0.5857, 0.6323, 0.3939)  2 Si 1.64-1.65
O (0.5146, 0.1683, 0.4964)  2 Si 1.65
O (0.0618, 0.8515, 0.3224)  1 Si 1.59
O (0.0752, 0.8432, 0.6753)  1 Si 1.60
O (0.0838, 0.3790, 0.3905)  2 Si 1.64-1.65
O (0.9854, 0.1683, 0.4964)  2 Si 1.65
O (0.5838, 0.8790, 0.1095)  2 Si 1.64-1.65
O (0.0857, 0.1323, 0.1061)  2 Si 1.64-1.65
O (0.7500, 0.0861, 0.1802)  1 Si 1.58
O (0.7500, 0.6293, 0.8960)  2 Si 1.68
O (0.0752, 0.6568, 0.1753)  1 Si 1.60
O (0.0146, 0.6683, 0.0036)  2 Si 1.65
O (0.2500, 0.3707, 0.1040)  2 Si 1.68
O (0.2500, 0.1293, 0.6040)  2 Si 1.68
O (0.9248, 0.3432, 0.8247)  1 Si 1.60
O (0.7500, 0.4519, 0.4982)  2 Si 1.63
O (0.9143, 0.6323, 0.3939)  2 Si 1.64-1.65
O (0.5838, 0.6210, 0.6095)  2 Si 1.64-1.65
O (0.4143, 0.3677, 0.6061)  2 Si 1.64-1.65
O (0.0857, 0.3677, 0.6061)  2 Si 1.64-1.65
O (0.9143, 0.8677, 0.8939)  2 Si 1.64-1.65
O (0.2500, 0.5481, 0.5018)  2 Si 1.63
O (0.9382, 0.3515, 0.1776)  1 Si 1.59
O (0.2500, 0.9139, 0.8198)  1 Si 1.58
O (0.4162, 0.1210, 0.8905)  2 Si 1.64-1.65
O (0.4162, 0.3790, 0.3905)  2 Si 1.64-1.65
O (0.2500, 0.5672, 0.6856)  1 Si 1.59
O (0.9248, 0.1568, 0.3247)  1 Si 1.60
O (0.4854, 0.6683, 0.0036)  2 Si 1.65
O (0.9382, 0.1485, 0.6776)  1 Si 1.59
O (0.2500, 0.9519, 0.0018)  2 Si 1.63
O (0.2500, 0.5861, 0.3198)  1 Si 1.58
O (0.7500, 0.6459, 0.1169)  2 Si 1.64
O (0.5618, 0.3515, 0.1776)  1 Si 1.59
O (0.7500, 0.8707, 0.3960)  2 Si 1.68
O (0.7500, 0.0672, 0.8144)  1 Si 1.59
O (0.4248, 0.8432, 0.6753)  1 Si 1.60
O (0.7500, 0.0481, 0.9982)  2 Si 1.63
O (0.2500, 0.3541, 0.8831)  2 Si 1.64
O (0.2500, 0.9328, 0.1856)  1 Si 1.59
O (0.0618, 0.6485, 0.8224)  1 Si 1.59
O (0.7500, 0.8541, 0.6169)  2 Si 1.64
O (0.4382, 0.6485, 0.8224)  1 Si 1.59
O (0.4143, 0.1323, 0.1061)  2 Si 1.64-1.65
O (0.0146, 0.8317, 0.5036)  2 Si 1.65
O (0.5146, 0.3317, 0.9964)  2 Si 1.65
V (0.7500, 0.2401, 0.7453)  6 O 1.96-2.07
V (0.2500, 0.7599, 0.2547)  6 O 1.96-2.07
V (0.7500, 0.2599, 0.2453)  6 O 1.96-2.07
V (0.2500, 0.7401, 0.7547)  6 O 1.96-2.07